(1)
## Be2AsBr (meta-GGA SCAN)

Data for a PBEsol-optimized structure of Be2AsBr.

Structure (POSCAR):
```
Be2AsBr
1.0
5.239 0.000 0.000
0.000 5.239 0.000
-2.619 -2.619 5.305
Be As Br
4 2 2
Direct
0.414 0.875 0.250
0.836 0.375 0.250
0.125 0.164 0.750
0.625 0.586 0.750
0.750 0.250 0.500
0.500 0.500 0.000
0.250 0.750 0.500
0.000 0.000 0.000
```

Summary:
Space group   I-42d, No. 122
ρ   3.94 Mg/m³
Energy above the most stable polymorph in this dataset   0.000 eV per atom
Energy relative to the elements, uncorrected   -0.416 eV/atom



(2)
## Be2AsBr (meta-GGA SCAN)

Data for a PBEsol-optimized structure of Be2AsBr.

Structure (POSCAR):
```
Be2AsBr
1.0
3.584 0.000 0.000
-1.792 3.184 0.097
0.000 -0.583 6.398
Be As Br
2 1 1
Direct
0.020 0.040 0.850
0.365 0.731 0.964
0.707 0.414 0.081
0.408 0.815 0.605
```

Summary:
Space group   Cm, No. 8
ρ   3.92 Mg/m³
Energy above the most stable polymorph in this dataset   0.225 eV per atom
Energy relative to the elements, uncorrected   -0.191 eV/atom